No. 1
Here is crystalline Na3TiRu at its relaxed geometry from Alexandria via LeMat-Bulk. Energies are from PBE-GGA.

Cell: 5.221 5.221 5.221 Å, 90.00 90.00 90.00°
Fractional coordinates of all 5 atoms:
Na: 0.500 0.000 0.000
Na: 0.000 0.000 0.500
Ru: 0.000 0.000 0.000
Na: 0.000 0.500 0.000
Ti: 0.500 0.500 0.500

Computed properties:
crystal system	cubic
E above lowest polymorph	0	meV/atom


No. 2
Here is crystalline PmGaCu2Ni at its relaxed geometry from Alexandria via LeMat-Bulk. Energies are from PBE-GGA.

Cell: 3.992 4.043 5.949 Å, 109.87 109.60 90.00°
Fractional coordinates of all 5 atoms:
Cu: 0.056 0.056 0.111
Pm: 0.439 0.439 0.878
Ga: 0.195 0.695 0.390
Ni: 0.827 0.827 0.655
Cu: 0.695 0.195 0.391

Computed properties:
crystal system	orthorhombic


No. 3
Here is crystalline Mg2Si3 at its relaxed geometry from Alexandria via LeMat-Bulk. Energies are from PBE-GGA.

Cell: 4.594 5.597 8.175 Å, 92.01 106.86 114.76°
Fractional coordinates of all 10 atoms:
Mg: 0.369 0.713 0.520
Si: 0.884 0.916 0.340
Si: 0.433 0.528 0.846
Si: 0.567 0.472 0.154
Si: 0.022 0.316 0.220
Si: 0.978 0.684 0.780
Mg: 0.631 0.287 0.480
Mg: 0.746 0.125 0.871
Si: 0.116 0.084 0.660
Mg: 0.254 0.875 0.129

Computed properties:
crystal system	triclinic
E above lowest polymorph	42	meV/atom
E_form (uncorrected)	72	meV per atom


No. 4
Here is crystalline Li2RePt at its relaxed geometry from Alexandria via LeMat-Bulk. Energies are from PBE-GGA.

Cell: 4.342 3.656 3.656 Å, 90.00 90.00 90.00°
Fractional coordinates of all 4 atoms:
Re: 0.500 0.000 0.500
Pt: 0.500 0.500 0.000
Li: 0.000 0.500 0.500
Li: 0.000 0.000 0.000

Computed properties:
crystal system	tetragonal
E above lowest polymorph	323	meV/atom


The calculation returns the following electronic total energy values, one per record and in order: -2.5843 -4.6637 -3.8200 -5.3841 eV per atom.